# KSc2Ru (PBE-GGA, relaxed)
# ΔE_f = 586 meV/atom
# total DFT energy (no corrections) = -5.17 eV/atom
data_KSc2Ru
_cell_length_a 3.2137
_cell_length_b 3.2137
_cell_length_c 34.1783
_cell_angle_alpha 90.00
_cell_angle_beta 90.00
_cell_angle_gamma 120.00
_symmetry_space_group_name_H-M 'R -3 m'
_symmetry_Int_Tables_number 166
_symmetry_space_group_name_Hall '-R 3 2"'
loop_
_atom_site_label
_atom_site_type_symbol
_atom_site_fract_x
_atom_site_fract_y
_atom_site_fract_z
K1 K 0.0000 0.0000 0.0000
Sc1 Sc 0.0000 0.0000 0.4321
Ru1 Ru 0.0000 0.0000 0.5000


# KSc2Ru (PBE-GGA, relaxed)
# ΔE_f = 134 meV/atom
# total DFT energy (no corrections) = -5.63 eV/atom
data_KSc2Ru
_cell_length_a 3.271
_cell_length_b 4.233
_cell_length_c 17.312
_cell_angle_alpha 90.00
_cell_angle_beta 90.00
_cell_angle_gamma 90.00
_symmetry_space_group_name_H-M 'I m m 2'
_symmetry_Int_Tables_number 44
loop_
_symmetry_equiv_pos_as_xyz
'x,y,z'
'-x,-y,z'
'-x,y,z'
'x,-y,z'
'x+1/2,y+1/2,z+1/2'
'-x+1/2,-y+1/2,z+1/2'
'-x+1/2,y+1/2,z+1/2'
'x+1/2,-y+1/2,z+1/2'
loop_
_atom_site_label
_atom_site_type_symbol
_atom_site_fract_x
_atom_site_fract_y
_atom_site_fract_z
K1 K 0.000 0.000 0.000
Sc1 Sc 0.000 0.000 0.310
Sc2 Sc 0.000 0.500 0.174
Ru1 Ru 0.000 0.500 0.696


# KScRu (PBE-GGA, relaxed)
# ΔE_f = 828 meV/atom
# total DFT energy (no corrections) = -4.74 eV/atom
data_KScRu
_cell_length_a 4.7944
_cell_length_b 4.7944
_cell_length_c 3.2770
_cell_angle_alpha 90.00
_cell_angle_beta 90.00
_cell_angle_gamma 120.00
_symmetry_space_group_name_H-M 'P 3 m 1'
_symmetry_Int_Tables_number 156
loop_
_symmetry_equiv_pos_as_xyz
'x,y,z'
'-y,x-y,z'
'-x+y,-x,z'
'-y,-x,z'
'-x+y,y,z'
'x,x-y,z'
loop_
_atom_site_label
_atom_site_type_symbol
_atom_site_fract_x
_atom_site_fract_y
_atom_site_fract_z
K1 K 0.0000 0.0000 0.0000
Sc1 Sc 0.3333 0.6667 0.5821
Ru1 Ru 0.6667 0.3333 0.3872


# KScRu (PBE-GGA, relaxed)
# ΔE_f = 277 meV/atom
# total DFT energy (no corrections) = -5.29 eV/atom
data_KScRu
_cell_length_a 3.313
_cell_length_b 3.313
_cell_length_c 14.569
_cell_angle_alpha 90.00
_cell_angle_beta 90.00
_cell_angle_gamma 90.00
_symmetry_space_group_name_H-M 'I 4 m m'
_symmetry_Int_Tables_number 107
_symmetry_space_group_name_Hall 'I 4 -2'
loop_
_atom_site_label
_atom_site_type_symbol
_atom_site_fract_x
_atom_site_fract_y
_atom_site_fract_z
K1 K 0.000 0.000 0.000
Sc1 Sc 0.000 0.000 0.747
Ru1 Ru 0.000 0.000 0.329


# KScRu2 (PBE-GGA, relaxed)
# ΔE_f = 383 meV/atom
# total DFT energy (no corrections) = -6.11 eV/atom
data_KScRu2
_cell_length_a 7.104
_cell_length_b 4.092
_cell_length_c 8.171
_cell_angle_alpha 90.00
_cell_angle_beta 106.22
_cell_angle_gamma 90.00
_symmetry_space_group_name_H-M 'C 1 m 1'
_symmetry_Int_Tables_number 8
loop_
_symmetry_equiv_pos_as_xyz
'x,y,z'
'x,-y,z'
'x+1/2,y+1/2,z'
'x+1/2,-y+1/2,z'
loop_
_atom_site_label
_atom_site_type_symbol
_atom_site_fract_x
_atom_site_fract_y
_atom_site_fract_z
K1 K 0.000 0.000 0.000
Sc1 Sc 0.176 0.000 0.545
Ru1 Ru 0.269 0.500 0.316
Ru2 Ru 0.456 0.000 0.379


# KSc2Ru (PBE-GGA, relaxed)
# ΔE_f = 380 meV/atom
# total DFT energy (no corrections) = -5.38 eV/atom
data_KSc2Ru
_cell_length_a 3.503
_cell_length_b 5.210
_cell_length_c 10.756
_cell_angle_alpha 90.00
_cell_angle_beta 90.00
_cell_angle_gamma 90.00
_symmetry_space_group_name_H-M 'C m m 2'
_symmetry_Int_Tables_number 35
loop_
_symmetry_equiv_pos_as_xyz
'x,y,z'
'-x,-y,z'
'-x,y,z'
'x,-y,z'
'x+1/2,y+1/2,z'
'-x+1/2,-y+1/2,z'
'-x+1/2,y+1/2,z'
'x+1/2,-y+1/2,z'
loop_
_atom_site_label
_atom_site_type_symbol
_atom_site_fract_x
_atom_site_fract_y
_atom_site_fract_z
K1 K 0.000 0.000 0.000
Sc1 Sc 0.000 0.000 0.588
Sc2 Sc 0.000 0.500 0.330
Ru1 Ru 0.000 0.500 0.750